First-principles (PBE) data for a relaxed InTcPb crystal, as listed in the Alexandria database.

Geometry as POSCAR:
```
InTcPb
1.0
3.280 0.000 0.000
-1.640 2.840 0.000
0.000 0.000 7.077
In Tc Pb
1 1 1
Cartesian
0.000 0.000 0.000
0.000 1.894 5.018
1.640 0.947 2.880
```

## Properties
Energy of formation   0.480 eV per atom
Total energy   -5.124 eV per atom
Calculated density   10.58 g/cm3

First-principles (PBE) data for a relaxed In2TcPb crystal, as listed in the Alexandria database.

Geometry as POSCAR:
```
In2TcPb
1.0
3.224 0.000 0.000
0.000 3.224 0.000
0.000 0.000 8.962
In Tc Pb
2 1 1
Cartesian
0.000 0.000 1.677
0.000 0.000 7.285
1.612 1.612 0.000
1.612 1.612 4.481
```

## Properties
Energy of formation   0.319 eV per atom
Total energy   -4.569 eV per atom
Calculated density   9.53 g/cm3

First-principles (PBE) data for a relaxed InTc2Pb crystal, as listed in the Alexandria database.

Geometry as POSCAR:
```
InTc2Pb
1.0
3.261 0.000 0.000
0.000 4.496 0.000
0.000 0.000 5.192
In Tc Pb
1 2 1
Cartesian
0.000 0.000 0.000
0.000 2.248 2.596
1.631 2.248 0.000
1.631 0.000 2.596
```

## Properties
Energy of formation   0.723 eV per atom
Total energy   -6.072 eV per atom
Calculated density   11.30 g/cm3

First-principles (PBE) data for a relaxed InTc2Pb crystal, as listed in the Alexandria database.

Geometry as POSCAR:
```
InTc2Pb
1.0
-1.504 2.316 5.835
1.504 -2.316 5.835
1.504 2.316 -5.835
In Tc Pb
1 2 1
Cartesian
0.000 0.000 0.000
1.504 0.000 3.805
0.000 0.000 5.889
0.000 2.316 2.652
```

## Properties
Energy of formation   0.522 eV per atom
Total energy   -6.273 eV per atom
Calculated density   10.58 g/cm3

First-principles (PBE) data for a relaxed InTc2Pb crystal, as listed in the Alexandria database.

Geometry as POSCAR:
```
InTc2Pb
1.0
3.069 0.000 0.000
0.000 3.069 0.000
0.000 0.000 8.690
In Tc Pb
1 2 1
Cartesian
0.000 0.000 0.000
0.000 0.000 5.307
1.535 1.535 6.703
1.535 1.535 3.077
```

## Properties
Energy of formation   0.202 eV per atom
Total energy   -6.592 eV per atom
Calculated density   10.51 g/cm3

First-principles (PBE) data for a relaxed In2TcPb crystal, as listed in the Alexandria database.

Geometry as POSCAR:
```
In2TcPb
1.0
5.147 0.000 0.000
0.000 5.147 0.000
0.000 0.000 3.387
In Tc Pb
2 1 1
Cartesian
0.000 2.573 0.000
2.573 0.000 0.000
0.000 0.000 1.694
2.573 2.573 1.694
```

## Properties
Energy of formation   0.578 eV per atom
Total energy   -4.310 eV per atom
Calculated density   9.90 g/cm3

First-principles (PBE) data for a relaxed InTc2Pb crystal, as listed in the Alexandria database.

Geometry as POSCAR:
```
InTc2Pb
1.0
0.000 3.363 3.363
3.363 0.000 3.363
3.363 3.363 0.000
In Tc Pb
1 2 1
Cartesian
0.000 0.000 0.000
3.363 3.363 3.363
5.044 5.044 5.044
1.681 1.681 1.681
```

## Properties
Energy of formation   0.785 eV per atom
Total energy   -6.010 eV per atom
Calculated density   11.31 g/cm3

First-principles (PBE) data for a relaxed InTc2Pb crystal, as listed in the Alexandria database.

Geometry as POSCAR:
```
InTc2Pb
1.0
-1.634 2.589 4.487
1.634 -2.589 4.487
1.634 2.589 -4.487
In Tc Pb
1 2 1
Cartesian
0.000 0.000 0.000
1.634 0.000 2.252
0.000 2.589 2.235
0.000 0.000 4.487
```

## Properties
Energy of formation   0.717 eV per atom
Total energy   -6.077 eV per atom
Calculated density   11.33 g/cm3

First-principles (PBE) data for a relaxed InTc2Pb crystal, as listed in the Alexandria database.

Geometry as POSCAR:
```
InTc2Pb
1.0
-3.755 3.755 3.011
3.755 -3.755 3.011
3.755 3.755 -3.011
In Tc Pb
2 4 2
Cartesian
0.000 0.000 0.000
0.000 3.755 1.505
5.633 1.853 -0.753
1.853 1.878 0.753
-1.878 1.902 2.258
1.902 1.878 3.764
3.755 0.000 1.505
0.000 0.000 3.011
```

## Properties
Energy of formation   1.031 eV per atom
Total energy   -5.764 eV per atom
Calculated density   10.13 g/cm3

First-principles (PBE) data for a relaxed InTcPb crystal, as listed in the Alexandria database.

Geometry as POSCAR:
```
InTcPb
1.0
0.000 3.281 3.281
3.281 0.000 3.281
3.281 3.281 0.000
In Tc Pb
1 1 1
Cartesian
0.000 0.000 0.000
1.640 1.640 1.640
3.281 3.281 3.281
```

## Properties
Energy of formation   0.558 eV per atom
Total energy   -5.046 eV per atom
Calculated density   9.87 g/cm3

First-principles (PBE) data for a relaxed In3TcPb crystal, as listed in the Alexandria database.

Geometry as POSCAR:
```
In3TcPb
1.0
5.232 0.000 0.000
0.000 5.232 0.000
0.000 0.000 5.232
In Tc Pb
3 1 1
Cartesian
0.000 0.000 2.616
0.000 2.616 0.000
2.616 0.000 0.000
0.000 0.000 0.000
2.616 2.616 2.616
```

## Properties
Energy of formation   0.369 eV per atom
Total energy   -4.089 eV per atom
Calculated density   7.53 g/cm3

First-principles (PBE) data for a relaxed In2TcPb crystal, as listed in the Alexandria database.

Geometry as POSCAR:
```
In2TcPb
1.0
3.613 0.000 0.000
0.000 4.749 0.000
-1.448 0.000 5.395
In Tc Pb
2 1 1
Cartesian
0.105 0.000 1.502
2.059 0.000 3.894
1.082 2.375 2.698
1.806 2.375 0.000
```

## Properties
Energy of formation   0.456 eV per atom
Total energy   -4.432 eV per atom
Calculated density   9.59 g/cm3

- The lowest energy of formation belongs to which entry?
  number 5